Entry 1:
Density functional theory data (PBE) for a relaxed CaZrF5 crystal.

Cell lengths 5.918, 5.918, 7.576 Å; angles 71.40, 71.40, 74.51 degrees
Positions (direct):
Ca: 0.476 0.524 0.750
Ca: 0.524 0.476 0.250
F: 0.223 0.249 0.879
F: 0.298 0.689 0.469
F: 0.249 0.223 0.379
F: 0.151 0.849 0.750
F: 0.777 0.751 0.121
F: 0.849 0.151 0.250
F: 0.689 0.298 0.969
F: 0.702 0.311 0.531
F: 0.311 0.702 0.031
F: 0.751 0.777 0.621
Zr: 0.000 0.000 0.500
Zr: 0.000 0.000 0.000

Properties
The density is 3.2 g/cm³. As for the symmetry: C2/c (15). For the raw formation energy, the calculation gives -3.58 eV/atom.

Entry 2:
Density functional theory data (PBE) for a relaxed SmDyGaRu crystal.

Cell lengths 4.987, 4.987, 4.987 Å; angles 60.00, 60.00, 60.00 degrees
Positions (direct):
Dy: 0.000 0.000 0.000
Sm: 0.500 0.500 0.500
Ga: 0.250 0.250 0.250
Ru: 0.750 0.750 0.750

Properties
The density is 9.2 g/cm³. As for the symmetry: F-43m (216). The relative energy among the computed polymorphs comes out at 53 meV/atom. The formation energy comes out at -0.40 eV per atom.

> Among the records above, which one has the highest density?

SmDyGaRu

> Which of these has the lowest density?

CaZrF5